No. 1
First-principles (PBE) data for a geometry-optimized V3CoRu3 structure, as listed in the Alexandria database.

a b c (Å): 5.926 5.926 5.526
angles (deg): 90.00 90.00 92.21
Atoms (fractional coordinates):
V 0.226 0.774 0.500
Ru 0.500 0.000 0.756
V 0.341 0.659 0.000
Ru 0.000 0.500 0.756
V 0.685 0.685 0.500
Ru 0.000 0.000 0.232
V 0.774 0.226 0.500
Co 0.269 0.269 0.000
Ru 0.000 0.500 0.244
V 0.659 0.341 0.000
Co 0.731 0.731 0.000
Ru 0.000 0.000 0.768
V 0.315 0.315 0.500
Ru 0.500 0.000 0.244

Energy of formation from the pure elements (eV per atom): 0.00
Uncorrected energy (eV per atom): -8.902

=====

No. 2
First-principles (PBE) data for a geometry-optimized PmAs2Pt4 structure, as listed in the Alexandria database.

a b c (Å): 4.041 7.903 7.903
angles (deg): 90.00 90.00 90.00
Atoms (fractional coordinates):
Pt 0.500 0.592 0.160
Pt 0.500 0.160 0.592
Pt 0.000 0.660 0.908
As 0.000 0.214 0.786
Pm 0.000 0.500 0.500
As 0.500 0.286 0.286
Pm 0.500 0.000 0.000
As 0.000 0.786 0.214
Pt 0.000 0.908 0.660
As 0.500 0.714 0.714
Pt 0.000 0.340 0.092
Pt 0.000 0.092 0.340
Pt 0.500 0.840 0.408
Pt 0.500 0.408 0.840

Energy of formation from the pure elements (eV per atom): -0.64
Uncorrected energy (eV per atom): -6.103

=====

No. 3
First-principles (PBE) data for a geometry-optimized AlInIr2 structure, as listed in the Alexandria database.

a b c (Å): 5.283 5.283 5.283
angles (deg): 147.71 124.14 66.01
Atoms (fractional coordinates):
Ir 0.978 0.978 0.000
Ir 0.522 0.522 0.000
Al 0.750 0.250 0.500
In 0.250 0.750 0.500

Energy of formation from the pure elements (eV per atom): -0.14
Uncorrected energy (eV per atom): -6.191

=====

No. 4
First-principles (PBE) data for a geometry-optimized TaV2B structure, as listed in the Alexandria database.

a b c (Å): 4.159 4.159 4.159
angles (deg): 60.00 60.00 60.00
Atoms (fractional coordinates):
B 0.000 0.000 0.000
V 0.250 0.250 0.250
V 0.750 0.750 0.750
Ta 0.500 0.500 0.500

Distance to the lowest polymorph of the same formula (meV/atom): 714
Energy of formation from the pure elements (eV per atom): 0.28
Uncorrected energy (eV per atom): -8.907

=====

No. 5
First-principles (PBE) data for a geometry-optimized K2CuTe2O6 structure, as listed in the Alexandria database.

a b c (Å): 5.488 6.933 8.245
angles (deg): 125.58 90.00 113.31
Each line ends with the local moment (μB).
Atoms (fractional coordinates):
Te 0.918 0.837 0.151  0.03
Cu 0.500 0.000 0.500  0.55
O 0.633 0.787 0.276  0.07
O 0.105 0.210 0.286  0.02
O 0.154 0.787 0.276  0.07
Te 0.082 0.163 0.849  0.03
O 0.895 0.790 0.714  0.02
K 0.715 0.430 0.308  0.00
O 0.846 0.213 0.724  0.07
O 0.367 0.213 0.724  0.07
K 0.285 0.570 0.692  0.00

Formation energy (no corrections) (eV/atom): -1.13
Uncorrected energy (eV per atom): -4.978

=====

No. 6
First-principles (PBE) data for a geometry-optimized Ba6Tl2HgO structure, as listed in the Alexandria database.

a b c (Å): 8.400 8.975 11.805
angles (deg): 90.00 90.00 90.00
Atoms (fractional coordinates):
Tl 0.000 0.191 0.712
Ba 0.000 0.790 0.229
Ba 0.500 0.210 0.271
O 0.000 0.773 0.000
Hg 0.000 0.706 0.500
Tl 0.000 0.191 0.288
Ba 0.000 0.790 0.771
Tl 0.500 0.809 0.212
Ba 0.775 0.023 0.000
Ba 0.749 0.582 0.000
Tl 0.500 0.809 0.788
Ba 0.500 0.210 0.729
Ba 0.725 0.977 0.500
Ba 0.751 0.418 0.500
Ba 0.249 0.418 0.500
Hg 0.500 0.294 0.000
Ba 0.251 0.582 0.000
Ba 0.225 0.023 0.000
O 0.500 0.227 0.500
Ba 0.275 0.977 0.500

Formation energy (no corrections) (eV/atom): -0.58
Uncorrected energy (eV per atom): -2.737